Record 1
Here is a relaxed Rb3U2Se5 crystal from Alexandria. Energies are from GGA-PBE.

Cell lengths 13.1804, 13.1804, 3.8033 Å; angles 90.00, 90.00, 90.00 degrees
With the nearest neighbours (Å) after each atom.
Positions (direct):
Rb (0.0000, 0.0000, 0.0000)  8 Se 3.67, 2 Rb 3.80
Rb (0.1820, 0.3180, 0.0000)  3 U 3.72-4.05, 10 Se 3.80-4.04, 2 Rb 3.80
Rb (0.3180, 0.8180, 0.0000)  3 U 3.72-4.05, 10 Se 3.80-4.04, 2 Rb 3.80
Rb (0.5000, 0.5000, 0.0000)  8 Se 3.67, 2 Rb 3.80
Rb (0.6820, 0.1820, 0.0000)  3 U 3.72-4.05, 10 Se 3.80-4.04, 2 Rb 3.80
Rb (0.8180, 0.6820, 0.0000)  3 U 3.72-4.05, 10 Se 3.80-4.04, 2 Rb 3.80
U (0.1183, 0.6183, 0.0000)  6 Se 2.85-2.91
U (0.3817, 0.1183, 0.0000)  6 Se 2.85-2.91
U (0.6183, 0.8817, 0.0000)  6 Se 2.85-2.91
U (0.8817, 0.3817, 0.0000)  6 Se 2.85-2.91
Se (0.0000, 0.5000, 0.5000)  4 U 2.91
Se (0.0727, 0.7733, 0.5000)  2 U 2.85
Se (0.2267, 0.0727, 0.5000)  2 U 2.85
Se (0.2733, 0.5727, 0.5000)  2 U 2.85
Se (0.4273, 0.2733, 0.5000)  2 U 2.85
Se (0.5000, 0.0000, 0.5000)  4 U 2.91
Se (0.5727, 0.7267, 0.5000)  2 U 2.85
Se (0.7267, 0.4273, 0.5000)  2 U 2.85
Se (0.7733, 0.9273, 0.5000)  2 U 2.85
Se (0.9273, 0.2267, 0.5000)  2 U 2.85

Output
The space group is P4/mbm. Its total energy is -0.3989 Ry per atom. The value obtained for the density of states at the Fermi level is 18.6 states/eV per cell. Its raw formation energy is -11.4 eV per formula unit.

Record 2
Here is a relaxed Hg2SbAu crystal from Alexandria. Energies are from GGA-PBE.

Cell lengths 6.2677, 6.1850, 4.2418 Å; angles 71.14, 69.04, 39.82 degrees
With the nearest neighbours (Å) after each atom.
Positions (direct):
Hg (0.0000, 0.5000, 0.5000)  4 Hg 2.91-3.08, 2 Sb 3.13, 2 Au 3.13
Hg (0.5000, 0.0000, 0.0000)  4 Hg 2.91-3.08, 2 Sb 3.13, 2 Au 3.13
Sb (0.0000, 0.0000, 0.0000)  4 Au 2.91-3.08, 4 Hg 3.13
Au (0.5000, 0.5000, 0.5000)  4 Sb 2.91-3.08, 4 Hg 3.13

Output
The space group is Fmmm. Its total energy is -0.1406 Ry per atom. The value obtained for the density of states at the Fermi level is 1.4 states/eV per cell. Its raw formation energy is 0.4 eV per formula unit.

Record 3
Here is a relaxed TeAu2 crystal from Alexandria. Energies are from GGA-PBE.

Cell lengths 7.0257, 7.0257, 7.0257 Å; angles 154.26, 154.26, 36.73 degrees
With the nearest neighbours (Å) after each atom.
Positions (direct):
Te (0.0000, 0.0000, 0.0000)  4 Te 3.13, 8 Au 3.25
Au (0.3215, 0.3215, 0.0000)  8 Au 2.92-3.13, 4 Te 3.25
Au (0.6785, 0.6785, 0.0000)  8 Au 2.92-3.13, 4 Te 3.25

Output
The space group is I4/mmm. Its total energy is -0.2188 Ry per atom. The value obtained for the density of states at the Fermi level is 0.8 states/eV per cell. Its raw formation energy is 0.8 eV per formula unit.

Record 4
Here is a relaxed LiPrAg2Hg4 crystal from Alexandria. Energies are from GGA-PBE.

Cell lengths 8.6051, 8.6051, 8.6051 Å; angles 33.98, 33.98, 33.98 degrees
With the nearest neighbours (Å) after each atom.
Positions (direct):
Li (0.0000, 0.0000, 0.0000)  8 Hg 2.78-3.02
Pr (0.5000, 0.5000, 0.5000)  8 Hg 3.17-3.23, 6 Ag 3.49
Ag (0.2460, 0.2460, 0.2460)  8 Hg 2.94-3.20
Ag (0.7540, 0.7540, 0.7540)  8 Hg 2.94-3.20
Hg (0.1143, 0.1143, 0.1143)  1 Li 2.78, 3 Ag 2.98
Hg (0.3670, 0.3670, 0.3670)  4 Ag 2.94-3.18, 3 Li 3.02, 1 Pr 3.23
Hg (0.6330, 0.6330, 0.6330)  4 Ag 2.94-3.18, 3 Li 3.02, 1 Pr 3.23
Hg (0.8857, 0.8857, 0.8857)  1 Li 2.78, 3 Ag 2.98

Output
The space group is R-3m. Its total energy is -0.1444 Ry per atom. The value obtained for the density of states at the Fermi level is 3.4 states/eV per cell. The formation energy from the elements is -25.5 kJ per mole of atoms.

Record 5
Here is a relaxed K2BaZr3O8 crystal from Alexandria. Energies are from GGA-PBE.

Cell lengths 7.3878, 7.3878, 7.3878 Å; angles 53.75, 53.75, 53.75 degrees
With the nearest neighbours (Å) after each atom.
Positions (direct):
K (0.0000, 0.0000, 0.0000)  6 O 2.67-2.68
K (0.3736, 0.3736, 0.3736)  4 O 2.53-2.78
Ba (0.6227, 0.6227, 0.6227)  3 O 2.49
Zr (0.9999, 0.9999, 0.4953)  6 O 2.09-2.25
Zr (0.9999, 0.4953, 0.9999)  6 O 2.09-2.25
Zr (0.4953, 0.9999, 0.9999)  6 O 2.09-2.25
O (0.1835, 0.7441, 0.7441)  2 Zr 2.14
O (0.2265, 0.2265, 0.2265)  3 Zr 2.24
O (0.2561, 0.2561, 0.8175)  2 Zr 2.09
O (0.2561, 0.8175, 0.2561)  2 Zr 2.09
O (0.7441, 0.1835, 0.7441)  2 Zr 2.14
O (0.7441, 0.7441, 0.1835)  2 Zr 2.14
O (0.7716, 0.7716, 0.7716)  3 Zr 2.25
O (0.8175, 0.2561, 0.2561)  2 Zr 2.09

Output
The space group is R3m. Its total energy is -0.5722 Ry per atom. The value obtained for the density of states at the Fermi level is 0.0 states/eV per cell. Its raw formation energy is -39.6 eV per formula unit.

Record 6
Here is a relaxed Pm5Sm2In4 crystal from Alexandria. Energies are from GGA-PBE.

Cell lengths 8.7734, 3.4847, 10.7360 Å; angles 90.00, 95.62, 90.00 degrees
With the nearest neighbours (Å) after each atom.
Positions (direct):
Pm (0.0000, 0.0000, 0.0000)  4 In 3.31, 6 Pm 3.48-3.57
Pm (0.0409, 0.0000, 0.3338)  1 Sm 3.29, 4 In 3.32-3.52, 3 Pm 3.48-3.57
Pm (0.3405, 0.0000, 0.8580)  1 Sm 3.33, 6 In 3.36-3.59, 3 Pm 3.48
Pm (0.6595, 0.0000, 0.1420)  1 Sm 3.33, 6 In 3.36-3.59, 3 Pm 3.48
Pm (0.9591, 0.0000, 0.6662)  1 Sm 3.29, 4 In 3.32-3.52, 3 Pm 3.48-3.57
Sm (0.4177, 0.0000, 0.3624)  3 Sm 3.16-3.48, 6 In 3.22-3.39, 2 Pm 3.29-3.33
Sm (0.5823, 0.0000, 0.6376)  3 Sm 3.16-3.48, 6 In 3.22-3.39, 2 Pm 3.29-3.33
In (0.2518, 0.5000, 0.5782)  6 Pm 3.32-3.52, 4 Sm 3.34-3.39, 2 In 3.48
In (0.2995, 0.5000, 0.1198)  2 Sm 3.22, 6 Pm 3.31-3.59, 2 In 3.48
In (0.7005, 0.5000, 0.8802)  2 Sm 3.22, 6 Pm 3.31-3.59, 2 In 3.48
In (0.7482, 0.5000, 0.4218)  6 Pm 3.32-3.52, 4 Sm 3.34-3.39, 2 In 3.48

Output
The space group is P2/m. Its total energy is -0.3160 Ry per atom. The value obtained for the density of states at the Fermi level is 12.2 states/eV per cell. The formation energy from the elements is -27.7 kJ per mole of atoms.

Record 7
Here is a relaxed LaFeIrN2 crystal from Alexandria. Energies are from GGA-PBE.

Cell lengths 3.7128, 3.7128, 6.0043 Å; angles 90.00, 90.00, 90.00 degrees
With the nearest neighbours (Å) after each atom.
Positions (direct):
La (0.0000, 0.0000, 0.0000)  4 Ir 2.63
Fe (0.0000, 0.0000, 0.5000)  4 N 1.86
Ir (0.5000, 0.5000, 0.0000)  4 La 2.63
N (0.0000, 0.5000, 0.5000)  2 Fe 1.86
N (0.5000, 0.0000, 0.5000)  2 Fe 1.86

Output
The space group is P4/mmm. Its total energy is -0.5059 Ry per atom. The value obtained for the density of states at the Fermi level is 3.3 states/eV per cell. Its raw formation energy is 4.5 eV per formula unit.

Record 8
Here is a relaxed Ti2FeCu4 crystal from Alexandria. Energies are from GGA-PBE.

Cell lengths 6.9962, 6.9962, 6.9962 Å; angles 143.55, 143.55, 52.51 degrees
With the nearest neighbours (Å) after each atom.
Positions (direct):
Ti (0.1128, 0.1128, 0.0000)  5 Cu 2.50-2.61
Ti (0.8872, 0.8872, 0.0000)  5 Cu 2.50-2.61
Fe (0.5000, 0.5000, 0.0000)  6 Cu 2.19-2.36
Cu (0.0000, 0.5000, 0.5000)  2 Fe 2.19
Cu (0.3121, 0.3121, 0.0000)  1 Fe 2.36, 1 Ti 2.50
Cu (0.5000, 0.0000, 0.5000)  2 Fe 2.19
Cu (0.6879, 0.6879, 0.0000)  1 Fe 2.36, 1 Ti 2.50

Output
The space group is I4/mmm. Its total energy is -0.3700 Ry per atom. The value obtained for the density of states at the Fermi level is 8.3 states/eV per cell. The formation energy from the elements is 74.4 kJ per mole of atoms.

Record 9
Here is a relaxed Ac2Sm3Tl2 crystal from Alexandria. Energies are from GGA-PBE.

Cell lengths 6.8189, 6.8189, 8.7248 Å; angles 109.74, 109.74, 41.36 degrees
With the nearest neighbours (Å) after each atom.
Positions (direct):
Ac (0.1409, 0.1409, 0.2895)  4 Tl 3.54-3.79, 4 Sm 3.81-3.85
Ac (0.8591, 0.8591, 0.7105)  4 Tl 3.54-3.79, 4 Sm 3.81-3.85
Sm (0.3713, 0.3713, 0.0551)  3 Tl 3.25, 1 Sm 3.63
Sm (0.5000, 0.5000, 0.5000)  4 Tl 3.24, 2 Sm 3.63
Sm (0.6287, 0.6287, 0.9449)  3 Tl 3.25, 1 Sm 3.63
Tl (0.1561, 0.1561, 0.7115)  5 Sm 3.24-3.25, 3 Ac 3.54-3.62
Tl (0.8439, 0.8439, 0.2885)  5 Sm 3.24-3.25, 3 Ac 3.54-3.62

Output
The space group is C2/m. Its total energy is -0.2967 Ry per atom. The value obtained for the density of states at the Fermi level is 9.7 states/eV per cell. The formation energy from the elements is -15.9 kJ per mole of atoms.

Record 10
Here is a relaxed LiTlH2Br crystal from Alexandria. Energies are from GGA-PBE.

Cell lengths 3.8982, 3.9543, 9.2363 Å; angles 88.56, 78.89, 60.56 degrees
With the nearest neighbours (Å) after each atom.
Positions (direct):
Li (0.0000, 0.0000, 0.0000)  2 H 2.11-2.12
Tl (0.3956, 0.7798, 0.4530)  2 H 2.90-2.91
H (0.0592, 0.9254, 0.7679)  1 H 0.77
H (0.2596, 0.9121, 0.7723)  1 H 0.77
Br (0.6236, 0.6780, 0.0806)  3 Li 2.39

Output
The space group is P1. Its total energy is -0.2196 Ry per atom. The energy above the lowest structure with this stoichiometry comes out at 0.10 eV/f.u. The value obtained for the density of states at the Fermi level is 0.6 states/eV per cell.

Record 11
Here is a relaxed Tm2ZnGe crystal from Alexandria. Energies are from GGA-PBE.

Cell lengths 4.0582, 5.7308, 5.7308 Å; angles 42.32, 90.00, 90.00 degrees
With the nearest neighbours (Å) after each atom.
Positions (direct):
Tm (0.0000, 0.0000, 0.0000)  4 Ge 2.97, 3 Zn 3.02-3.11
Tm (0.5000, 0.2823, 0.2823)  4 Zn 2.98, 3 Ge 3.00-3.13
Zn (0.0000, 0.7178, 0.7178)  2 Ge 2.62
Ge (0.5000, 0.5628, 0.5628)  2 Zn 2.62

Output
The space group is Amm2. Its total energy is -0.3179 Ry per atom. The value obtained for the density of states at the Fermi level is 3.5 states/eV per cell. The formation energy from the elements is -59.5 kJ per mole of atoms.

Record 12
Here is a relaxed CsHRhS crystal from Alexandria. Energies are from GGA-PBE.

Cell lengths 4.3255, 5.3954, 4.6568 Å; angles 90.00, 90.33, 90.00 degrees
With the nearest neighbours (Å) after each atom.
Positions (direct):
Cs (0.0000, 0.0000, 0.0000)  4 H 3.49-3.50, 4 S 3.56
H (0.5025, 0.5000, 0.1112)  1 Rh 1.58
Rh (0.5047, 0.5000, 0.4504)  1 H 1.58
S (0.0051, 0.5000, 0.5001)  2 Rh 2.17-2.18

Output
The space group is Pm. Its total energy is -0.3135 Ry per atom. The energy above the lowest structure with this stoichiometry comes out at 0.00 eV/f.u. The value obtained for the density of states at the Fermi level is 1.9 states/eV per cell.

- What is the density of states at the Fermi level in the fourth record?
  3.4 states/eV per cell